Crystalline Rb3ZrMn at its relaxed geometry, computed with GGA-PBE.

abc: 7.044 7.044 7.044
angles: 90.00 90.00 90.00
Space group Pm-3m (No. 221)
Asymmetric unit:
Rb (0.000, 0.000, 0.500) [3 per cell]
Zr (0.000, 0.000, 0.000) [1 per cell]
Mn (0.500, 0.500, 0.500) [1 per cell]

Results
total moment	9.554	μB/f.u.
ΔE_f	150.7	kJ per mole of atoms


Crystalline Al2SiCl at its relaxed geometry, computed with GGA-PBE.

abc: 2.949 2.949 9.232
angles: 90.00 90.00 90.00
Space group P4mm (No. 99)
Asymmetric unit:
Al (0.000, 0.000, 0.000) [1 per cell]
Al (0.500, 0.500, 0.214) [1 per cell]
Si (0.500, 0.500, 0.805) [1 per cell]
Cl (0.000, 0.000, 0.392) [1 per cell]

Results
total moment	0.000	μB/f.u.
ΔE to the lowest computed polymorph	76	meV/atom


Crystalline SrAlCl2 at its relaxed geometry, computed with GGA-PBE.

abc: 4.314 4.314 5.811
angles: 90.00 90.00 90.00
Space group P4mm (No. 99)
Asymmetric unit:
Sr (0.000, 0.000, 0.000) [1 per cell]
Al (0.500, 0.500, 0.341) [1 per cell]
Cl (0.000, 0.000, 0.492) [1 per cell]
Cl (0.500, 0.500, 0.761) [1 per cell]

Results
total moment	0.354	μB/f.u.
ΔE to the lowest computed polymorph	160	meV/atom


Crystalline NdEr2NpN4 at its relaxed geometry, computed with GGA-PBE.

abc: 3.404 13.078 10.891
angles: 90.00 90.00 90.00
Space group Cmcm (No. 63)
Asymmetric unit:
Nd (0.000, 0.232, 0.250) [4 per cell]
Er (0.000, 0.372, 0.513) [8 per cell]
Np (0.000, 0.035, 0.750) [4 per cell]
N (0.000, 0.000, 0.000) [4 per cell]
N (0.000, 0.201, 0.610) [8 per cell]
N (0.000, 0.422, 0.750) [4 per cell]

Results
total moment	3.944	μB/f.u.
uncorrected energy	-280.06	eV per cell